1.
VASP calculation (GGA-PBE) on a relaxed HoTmRh crystal.

The structure in CIF format:
```
data_HoTmRh
_chemical_formula_sum 'Ho4 Tm4 Rh4'
_cell_length_a 4.463
_cell_length_b 4.463
_cell_length_c 14.473
_cell_angle_alpha 90.00
_cell_angle_beta 90.00
_cell_angle_gamma 90.00
_symmetry_space_group_name_H-M 'I 4/m m m'
_symmetry_Int_Tables_number 139
_symmetry_space_group_name_Hall '-I 4 2'
loop_
_atom_site_label
_atom_site_fract_x
_atom_site_fract_y
_atom_site_fract_z
Ho1 0.000 0.000 0.185
Tm1 0.000 0.500 0.000
Rh1 0.000 0.000 0.372
```

Output
The value obtained for the total energy is -6.053 eV/atom. As for the magnetic moment: 0.00 μB per cell. The distance to the lowest polymorph of the same formula comes out at 0.22 eV/f.u. Its formation energy from the elements is -0.586 eV/atom.

2.
VASP calculation (GGA-PBE) on a relaxed Ho4TmRh3 crystal.

The structure in CIF format:
```
data_Ho4TmRh3
_chemical_formula_sum 'Ho16 Tm4 Rh12'
_cell_length_a 10.941
_cell_length_b 10.941
_cell_length_c 6.081
_cell_angle_alpha 90.00
_cell_angle_beta 90.00
_cell_angle_gamma 90.00
_symmetry_space_group_name_H-M 'I 4/m c m'
_symmetry_Int_Tables_number 140
_symmetry_space_group_name_Hall '-I 4 2c'
loop_
_atom_site_label
_atom_site_fract_x
_atom_site_fract_y
_atom_site_fract_z
Ho1 0.081 0.210 0.000
Tm1 0.000 0.500 0.250
Rh1 0.000 0.000 0.250
Rh2 0.155 0.345 0.500
```

Output
The value obtained for the total energy is -6.326 eV/atom. As for the magnetic moment: 0.00 μB per cell. Its formation energy from the elements is -0.721 eV/atom.

3.
VASP calculation (GGA-PBE) on a relaxed Ho3TmRh4 crystal.

The structure in CIF format:
```
data_Ho3TmRh4
_chemical_formula_sum 'Ho3 Tm1 Rh4'
_cell_length_a 4.844
_cell_length_b 4.844
_cell_length_c 6.707
_cell_angle_alpha 90.00
_cell_angle_beta 90.00
_cell_angle_gamma 90.00
_symmetry_space_group_name_H-M 'P 4/m m m'
_symmetry_Int_Tables_number 123
_symmetry_space_group_name_Hall '-P 4 2'
loop_
_atom_site_label
_atom_site_fract_x
_atom_site_fract_y
_atom_site_fract_z
Ho1 0.000 0.000 0.000
Ho2 0.000 0.000 0.500
Ho3 0.500 0.500 0.000
Tm1 0.500 0.500 0.500
Rh1 0.000 0.500 0.251
```

Output
The value obtained for the total energy is -6.872 eV/atom. As for the magnetic moment: 0.00 μB per cell. Its formation energy from the elements is -0.921 eV/atom.

4.
VASP calculation (GGA-PBE) on a relaxed HoTmRh4 crystal.

The structure in CIF format:
```
data_HoTmRh4
_chemical_formula_sum 'Ho4 Tm4 Rh16'
_cell_length_a 7.515
_cell_length_b 7.515
_cell_length_c 7.515
_cell_angle_alpha 90.00
_cell_angle_beta 90.00
_cell_angle_gamma 90.00
_symmetry_space_group_name_H-M 'F -4 3 m'
_symmetry_Int_Tables_number 216
_symmetry_space_group_name_Hall 'F -4 2 3'
loop_
_atom_site_label
_atom_site_fract_x
_atom_site_fract_y
_atom_site_fract_z
Ho1 0.000 0.000 0.000
Tm1 0.250 0.250 0.250
Rh1 0.125 0.125 0.625
```

Output
The value obtained for the total energy is -7.168 eV/atom. As for the magnetic moment: 0.00 μB per cell. Its formation energy from the elements is -0.758 eV/atom.

5.
VASP calculation (GGA-PBE) on a relaxed HoTmZnRh crystal.

The structure in CIF format:
```
data_HoTmZnRh
_chemical_formula_sum 'Ho1 Tm1 Zn1 Rh1'
_cell_length_a 3.458
_cell_length_b 3.458
_cell_length_c 7.004
_cell_angle_alpha 90.00
_cell_angle_beta 90.00
_cell_angle_gamma 90.00
_symmetry_space_group_name_H-M 'P 4 m m'
_symmetry_Int_Tables_number 99
_symmetry_space_group_name_Hall 'P 4 -2'
loop_
_atom_site_label
_atom_site_fract_x
_atom_site_fract_y
_atom_site_fract_z
Ho1 0.000 0.000 0.000
Tm1 0.000 0.000 0.467
Zn1 0.500 0.500 0.730
Rh1 0.500 0.500 0.238
```

Output
The value obtained for the total energy is -5.068 eV/atom. As for the magnetic moment: 0.00 μB per cell. The distance to the lowest polymorph of the same formula comes out at 0.00 eV/f.u. Its formation energy from the elements is -0.649 eV/atom.

6.
VASP calculation (GGA-PBE) on a relaxed HoTmZnRh crystal.

The structure in CIF format:
```
data_HoTmZnRh
_chemical_formula_sum 'Ho4 Tm4 Zn4 Rh4'
_cell_length_a 6.913
_cell_length_b 6.913
_cell_length_c 6.913
_cell_angle_alpha 90.00
_cell_angle_beta 90.00
_cell_angle_gamma 90.00
_symmetry_space_group_name_H-M 'F -4 3 m'
_symmetry_Int_Tables_number 216
_symmetry_space_group_name_Hall 'F -4 2 3'
loop_
_atom_site_label
_atom_site_fract_x
_atom_site_fract_y
_atom_site_fract_z
Ho1 0.000 0.000 0.000
Tm1 0.000 0.000 0.500
Zn1 0.250 0.250 0.250
Rh1 0.250 0.250 0.750
```

Output
The value obtained for the total energy is -5.055 eV/atom. As for the magnetic moment: 0.00 μB per cell. The distance to the lowest polymorph of the same formula comes out at 0.05 eV/f.u. Its formation energy from the elements is -0.637 eV/atom.

7.
VASP calculation (GGA-PBE) on a relaxed HoVRh crystal.

The structure in CIF format:
```
data_HoVRh
_chemical_formula_sum 'Ho4 V4 Rh4'
_cell_length_a 10.404
_cell_length_b 3.354
_cell_length_c 6.534
_cell_angle_alpha 90.00
_cell_angle_beta 108.41
_cell_angle_gamma 90.00
_symmetry_space_group_name_H-M 'C 1 2/m 1'
_symmetry_Int_Tables_number 12
_symmetry_space_group_name_Hall '-C 2y'
loop_
_atom_site_label
_atom_site_fract_x
_atom_site_fract_y
_atom_site_fract_z
Ho1 0.144 0.000 0.318
V1 0.177 0.000 0.862
Rh1 0.000 0.500 0.000
Rh2 0.000 0.500 0.500
```

Output
The value obtained for the total energy is -7.134 eV/atom. As for the magnetic moment: 0.88 μB per cell. Its formation energy from the elements is -0.118 eV/atom.

8.
VASP calculation (GGA-PBE) on a relaxed Y2Ho2Rh3 crystal.

The structure in CIF format:
```
data_Y2Ho2Rh3
_chemical_formula_sum 'Y2 Ho2 Rh3'
_cell_length_a 4.773
_cell_length_b 4.838
_cell_length_c 7.679
_cell_angle_alpha 71.68
_cell_angle_beta 72.06
_cell_angle_gamma 89.78
_symmetry_space_group_name_H-M 'P -1'
_symmetry_Int_Tables_number 2
_symmetry_space_group_name_Hall '-P 1'
loop_
_atom_site_label
_atom_site_fract_x
_atom_site_fract_y
_atom_site_fract_z
Y1 0.128 0.127 0.248
Ho1 0.371 0.373 0.753
Rh1 0.000 0.500 0.500
Rh2 0.251 0.752 0.997
```

Output
The value obtained for the total energy is -7.057 eV/atom. As for the magnetic moment: 0.00 μB per cell. The distance to the lowest polymorph of the same formula comes out at 0.16 eV/f.u. Its formation energy from the elements is -0.752 eV/atom.